Computed, not measured: a relaxed Li2MgNb crystal at the PBE level of DFT.

## Properties
**E**: -3.124 eV per atom
**Total moment**: 2.09 μB per formula unit
**Symmetry**: I-42d, No. 122
**Volume**: 18.8 Å³ per atom

Lattice parameters (Å, degrees): 5.870 5.870 5.870 103.70 103.70 121.75
Element x y z (fractional)
Li: 0.117 0.625 0.992
Li: 0.375 0.367 0.492
Li: 0.633 0.125 0.008
Li: 0.875 0.883 0.508
Mg: 0.000 0.000 0.000
Mg: 0.750 0.250 0.500
Nb: 0.250 0.750 0.500
Nb: 0.500 0.500 0.000